1.
Tb6Tm3Tl, optimized geometry, DFT PBE; spin magnetization = 0.00 μB/f.u.; formation energy = 0.3 eV per formula unit; space-group type = Cmc2_1
1.0
4.834 -10.082 0.000
4.834 10.082 0.000
0.000 0.000 6.294
Tb Tm Tl
12 6 2
direct
0.017 0.983 0.500
0.101 0.535 0.971
0.262 0.373 0.755
0.286 0.714 0.527
0.373 0.262 0.255
0.465 0.899 0.971
0.535 0.101 0.471
0.627 0.738 0.755
0.714 0.286 0.027
0.738 0.627 0.255
0.899 0.465 0.471
0.983 0.017 0.000
0.044 0.296 0.325
0.296 0.044 0.825
0.413 0.587 0.228
0.587 0.413 0.728
0.704 0.956 0.325
0.956 0.704 0.825
0.153 0.847 0.258
0.847 0.153 0.758

2.
CrCuTePt2, optimized geometry, DFT PBE; spin magnetization = 4.89 μB/f.u.; formation energy without anion corrections = 0.8311 eV per atom; space-group type = P4/mmm
1.0
4.995 0.000 0.000
0.000 4.995 0.000
0.000 0.000 4.693
Cr Cu Te Pt
1 1 1 2
direct
0.000 0.000 0.000
0.500 0.500 0.000
0.500 0.500 0.500
0.000 0.500 0.500
0.500 0.000 0.500